Entry 1:
{
  "formula": "Zr2CoMoH",
  "functional": "GGA-PBE",
  "state": "optimized geometry",
  "spacegroup": "P4/mmm (123)",
  "vol_a3_per_atom": 14.40,
  "energy_ev_per_atom": -7.8844,
  "mass_density_g_cm3": 7.8,
  "magnetic_moment_mub_per_fu": 0.45,
  "cell": [[-0.1277, 4.6167, -0.1939], [-1.8098, -0.2285, -4.2474], [-3.0994, -0.0302, 1.3223]],
  "species": ["Zr", "Zr", "Mo", "Co", "H"],
  "frac_coords": [[0.5000, 0.0000, 0.0000], [0.0000, 0.5000, 0.0000], [0.5000, 0.5000, 0.5000], [0.0000, 0.0000, 0.5000], [0.0000, 0.0000, 0.0000]]
}


Entry 2:
{
  "formula": "ZrCoMo2H",
  "functional": "GGA-PBE",
  "state": "optimized geometry",
  "spacegroup": "P4/mmm (123)",
  "vol_a3_per_atom": 13.48,
  "energy_ev_per_atom": -8.0353,
  "mass_density_g_cm3": 8.5,
  "magnetic_moment_mub_per_fu": 0.00,
  "cell": [[3.8217, 0.0000, 0.0000], [0.0000, 4.6131, 0.0000], [0.0000, 0.0000, 3.8217]],
  "species": ["Mo", "Mo", "H", "Co", "Zr"],
  "frac_coords": [[0.0000, 0.0000, 0.5000], [0.5000, 0.0000, 0.0000], [0.0000, 0.0000, 0.0000], [0.5000, 0.5000, 0.5000], [0.0000, 0.5000, 0.0000]]
}


Entry 3:
{
  "formula": "ZrCo2MoH",
  "functional": "GGA-PBE",
  "state": "optimized geometry",
  "spacegroup": "P4/mmm (123)",
  "vol_a3_per_atom": 11.88,
  "energy_ev_per_atom": -7.3838,
  "mass_density_g_cm3": 8.6,
  "magnetic_moment_mub_per_fu": 0.00,
  "cell": [[3.8799, 0.0000, 0.0000], [0.0000, 3.8799, 0.0000], [0.0000, 0.0000, 3.9469]],
  "species": ["H", "Zr", "Co", "Co", "Mo"],
  "frac_coords": [[0.0000, 0.0000, 0.0000], [0.5000, 0.5000, 0.5000], [0.5000, 0.0000, 0.0000], [0.0000, 0.5000, 0.0000], [0.0000, 0.0000, 0.5000]]
}


Entry 4:
{
  "formula": "Co6H3N",
  "functional": "GGA-PBE",
  "state": "optimized geometry",
  "spacegroup": "P2_1/c (14)",
  "vol_a3_per_atom": 7.87,
  "energy_ev_per_atom": -5.9880,
  "mass_density_g_cm3": 7.8,
  "magnetic_moment_mub_per_fu": 6.77,
  "cell": [[4.5046, 0.0000, -0.3103], [0.0000, 5.0320, 0.0000], [0.4670, 0.0000, 6.9114]],
  "species": ["H", "H", "H", "H", "H", "H", "Co", "Co", "Co", "Co", "Co", "Co", "Co", "Co", "Co", "Co", "Co", "Co", "N", "N"],
  "frac_coords": [[0.0000, 0.0000, 0.5000], [0.5000, 0.5000, 0.0000], [0.4856, 0.8841, 0.1729], [0.5144, 0.1159, 0.8271], [0.9856, 0.6159, 0.6729], [0.0144, 0.3841, 0.3271], [0.6598, 0.4550, 0.7516], [0.8402, 0.9550, 0.7484], [0.6592, 0.1728, 0.4262], [0.8408, 0.6728, 0.0738], [0.1598, 0.0450, 0.2516], [0.3402, 0.5450, 0.2484], [0.6596, 0.1847, 0.0680], [0.1592, 0.3272, 0.9262], [0.3404, 0.8153, 0.9320], [0.3408, 0.8272, 0.5738], [0.1596, 0.3153, 0.5680], [0.8404, 0.6847, 0.4320], [0.0000, 0.0000, 0.0000], [0.5000, 0.5000, 0.5000]]
}


Entry 5:
{
  "formula": "CoHN3",
  "functional": "GGA-PBE",
  "state": "optimized geometry",
  "spacegroup": "Pm-3m (221)",
  "vol_a3_per_atom": 9.26,
  "energy_ev_per_atom": -4.8710,
  "mass_density_g_cm3": 3.7,
  "magnetic_moment_mub_per_fu": 0.00,
  "cell": [[-2.4019, -2.6335, 0.4384], [2.1922, -2.2821, -1.6980], [1.5237, -0.8680, 3.1339]],
  "species": ["Co", "N", "N", "N", "H"],
  "frac_coords": [[0.0000, 0.0000, 0.0000], [0.5000, 0.0000, 0.0000], [0.0000, 0.0000, 0.5000], [0.0000, 0.5000, 0.0000], [0.5000, 0.5000, 0.5000]]
}


Entry 6:
{
  "formula": "CoH2N",
  "functional": "GGA-PBE",
  "state": "optimized geometry",
  "spacegroup": "R-3m (166)",
  "vol_a3_per_atom": 5.86,
  "e_above_lowest_polymorph_mev_per_atom": 506,
  "energy_ev_per_atom": -4.3764,
  "mass_density_g_cm3": 5.3,
  "magnetic_moment_mub_per_fu": 1.96,
  "cell": [[2.6438, 0.0000, 0.0000], [1.3219, 2.2896, 0.0000], [1.3219, 0.7632, 3.8712]],
  "species": ["Co", "H", "H", "N"],
  "frac_coords": [[0.0000, 0.0000, 0.0000], [0.1500, 0.1500, 0.5501], [0.8500, 0.8500, 0.4499], [0.5000, 0.5000, 0.5000]]
}


Entry 7:
{
  "formula": "CoH3N",
  "functional": "GGA-PBE",
  "state": "optimized geometry",
  "spacegroup": "Pm-3m (221)",
  "vol_a3_per_atom": 5.45,
  "e_above_lowest_polymorph_mev_per_atom": 0,
  "energy_ev_per_atom": -3.9360,
  "mass_density_g_cm3": 4.6,
  "magnetic_moment_mub_per_fu": 1.27,
  "cell": [[3.0097, 0.0000, 0.0000], [0.0000, 3.0097, 0.0000], [0.0000, 0.0000, 3.0097]],
  "species": ["N", "Co", "H", "H", "H"],
  "frac_coords": [[0.0000, 0.0000, 0.0000], [0.5000, 0.5000, 0.5000], [0.0000, 0.5000, 0.0000], [0.5000, 0.0000, 0.0000], [0.0000, 0.0000, 0.5000]]
}


Entry 8:
{
  "formula": "Co4HN",
  "functional": "GGA-PBE",
  "state": "optimized geometry",
  "spacegroup": "P2_1/c (14)",
  "vol_a3_per_atom": 8.86,
  "energy_ev_per_atom": -6.5406,
  "mass_density_g_cm3": 7.8,
  "magnetic_moment_mub_per_fu": 4.12,
  "cell": [[-3.7561, -0.2130, -3.3070], [0.1232, -4.4248, 0.1450], [-1.9928, 0.0963, 4.6329]],
  "species": ["N", "N", "Co", "Co", "Co", "Co", "Co", "Co", "Co", "Co", "H", "H"],
  "frac_coords": [[0.0000, 0.5000, 0.5000], [0.5000, 0.0000, 0.5000], [0.1531, 0.3348, 0.8714], [0.3469, 0.8348, 0.1286], [0.2802, 0.3348, 0.3826], [0.6531, 0.1652, 0.8714], [0.8469, 0.6652, 0.1286], [0.2198, 0.8348, 0.6174], [0.7198, 0.6652, 0.6174], [0.7802, 0.1652, 0.3826], [0.5000, 0.5000, 0.0000], [0.0000, 0.0000, 0.0000]]
}


Entry 9:
{
  "formula": "CoHN3",
  "functional": "GGA-PBE",
  "state": "optimized geometry",
  "spacegroup": "Pm-3m (221)",
  "vol_a3_per_atom": 6.62,
  "energy_ev_per_atom": -4.7825,
  "mass_density_g_cm3": 5.1,
  "magnetic_moment_mub_per_fu": 0.00,
  "cell": [[-0.0281, -1.3956, 2.8911], [-0.7215, -2.8145, -1.3656], [3.1282, -0.6616, -0.2890]],
  "species": ["N", "N", "N", "H", "Co"],
  "frac_coords": [[0.0000, 0.0000, 0.5000], [0.5000, 0.0000, 0.0000], [0.0000, 0.5000, 0.0000], [0.0000, 0.0000, 0.0000], [0.5000, 0.5000, 0.5000]]
}


Entry 10:
{
  "formula": "CoH3N",
  "functional": "GGA-PBE",
  "state": "optimized geometry",
  "spacegroup": "Pm-3m (221)",
  "vol_a3_per_atom": 6.03,
  "e_above_lowest_polymorph_mev_per_atom": 140,
  "energy_ev_per_atom": -3.7964,
  "mass_density_g_cm3": 4.2,
  "magnetic_moment_mub_per_fu": 0.99,
  "cell": [[-1.9804, -0.6634, -2.3083], [2.3643, -1.0644, -1.7226], [-0.4222, -2.8491, 1.1810]],
  "species": ["Co", "H", "H", "H", "N"],
  "frac_coords": [[0.0000, 0.0000, 0.0000], [0.0000, 0.0000, 0.5000], [0.5000, 0.0000, 0.0000], [0.0000, 0.5000, 0.0000], [0.5000, 0.5000, 0.5000]]
}


Entry 11:
{
  "formula": "CoH2N",
  "functional": "GGA-PBE",
  "state": "optimized geometry",
  "spacegroup": "Fm-3m (225)",
  "vol_a3_per_atom": 5.58,
  "e_above_lowest_polymorph_mev_per_atom": 530,
  "energy_ev_per_atom": -4.3516,
  "mass_density_g_cm3": 5.6,
  "magnetic_moment_mub_per_fu": 1.13,
  "cell": [[0.0000, 2.2342, 2.2342], [2.2342, 0.0000, 2.2342], [2.2342, 2.2342, 0.0000]],
  "species": ["H", "H", "Co", "N"],
  "frac_coords": [[0.7500, 0.7500, 0.7500], [0.2500, 0.2500, 0.2500], [0.5000, 0.5000, 0.5000], [0.0000, 0.0000, 0.0000]]
}


Entry 12:
{
  "formula": "CoH2N",
  "functional": "GGA-PBE",
  "state": "optimized geometry",
  "spacegroup": "I4_1/amd (141)",
  "vol_a3_per_atom": 6.32,
  "e_above_lowest_polymorph_mev_per_atom": 0,
  "energy_ev_per_atom": -4.8821,
  "mass_density_g_cm3": 4.9,
  "magnetic_moment_mub_per_fu": 0.00,
  "cell": [[2.6806, 0.0000, 0.0000], [0.0000, 2.6806, 0.0000], [1.3403, 1.3403, 7.0406]],
  "species": ["H", "H", "H", "H", "Co", "Co", "N", "N"],
  "frac_coords": [[0.8753, 0.1250, 0.2500], [0.3750, 0.1247, 0.7500], [0.8747, 0.6250, 0.2500], [0.8750, 0.1253, 0.7500], [0.7500, 0.2500, 0.5000], [0.0000, 0.0000, 0.0000], [0.5000, 0.5000, 0.0000], [0.2500, 0.7500, 0.5000]]
}